TbPm3ErSc: relaxed, PBE.

Properties
size of the total moment = 0.00 μB per cell
formation energy from the elements = 0.041 eV/atom
volume = 31.6 Å³ per atom
VASP energy = -4.921 eV per atom

Geometry as CIF:
```
data_TbPm3ErSc
_space_group_name_H-M_alt 'P 1'
_space_group_IT_number 1
_space_group_name_Hall 'P 1'
_cell_length_a 7.903
_cell_length_b 5.043
_cell_length_c 10.051
_cell_angle_alpha 90.00
_cell_angle_beta 108.62
_cell_angle_gamma 90.00
loop_
_atom_site_label
_atom_site_type_symbol
_atom_site_fract_x
_atom_site_fract_y
_atom_site_fract_z
_atom_site_occupancy
Tb1 Tb 0.176 0.250 0.297 1
Tb2 Tb 0.824 0.750 0.703 1
Pm1 Pm 0.170 0.750 0.045 1
Pm2 Pm 0.172 0.250 0.790 1
Pm3 Pm 0.176 0.750 0.541 1
Pm4 Pm 0.824 0.250 0.459 1
Pm5 Pm 0.828 0.750 0.210 1
Pm6 Pm 0.830 0.250 0.955 1
Er1 Er 0.498 0.250 0.128 1
Er2 Er 0.502 0.750 0.872 1
Sc1 Sc 0.499 0.750 0.379 1
Sc2 Sc 0.501 0.250 0.621 1
```

=====

TbPmEr2Sc4: relaxed, PBE.

Properties
size of the total moment = 7.53 μB per cell
formation energy from the elements = 0.434 eV/atom
volume = 29.1 Å³ per atom
VASP energy = -5.045 eV per atom

Geometry as CIF:
```
data_TbPmEr2Sc4
_space_group_name_H-M_alt 'P 1'
_space_group_IT_number 1
_space_group_name_Hall 'P 1'
_cell_length_a 9.086
_cell_length_b 9.086
_cell_length_c 6.511
_cell_angle_alpha 110.99
_cell_angle_beta 110.99
_cell_angle_gamma 88.41
loop_
_atom_site_label
_atom_site_type_symbol
_atom_site_fract_x
_atom_site_fract_y
_atom_site_fract_z
_atom_site_occupancy
Tb1 Tb 0.000 0.000 0.000 1
Tb2 Tb 0.000 0.000 0.500 1
Pm1 Pm 0.000 0.500 0.000 1
Pm2 Pm 0.500 0.000 0.500 1
Er1 Er 0.000 0.500 0.500 1
Er2 Er 0.500 0.000 0.000 1
Er3 Er 0.500 0.500 0.000 1
Er4 Er 0.500 0.500 0.500 1
Sc1 Sc 0.250 0.253 0.503 1
Sc2 Sc 0.252 0.748 0.501 1
Sc3 Sc 0.252 0.748 0.999 1
Sc4 Sc 0.253 0.250 0.003 1
Sc5 Sc 0.747 0.750 0.997 1
Sc6 Sc 0.748 0.252 0.001 1
Sc7 Sc 0.748 0.252 0.499 1
Sc8 Sc 0.750 0.747 0.497 1
```

=====

TbPm6ErSc2: relaxed, PBE.

Properties
size of the total moment = 0.00 μB per cell
formation energy from the elements = 0.125 eV/atom
volume = 32.0 Å³ per atom
VASP energy = -4.911 eV per atom

Geometry as CIF:
```
data_TbPm6ErSc2
_space_group_name_H-M_alt 'P 1'
_space_group_IT_number 1
_space_group_name_Hall 'P 1'
_cell_length_a 8.761
_cell_length_b 8.761
_cell_length_c 9.505
_cell_angle_alpha 94.06
_cell_angle_beta 94.06
_cell_angle_gamma 117.62
loop_
_atom_site_label
_atom_site_type_symbol
_atom_site_fract_x
_atom_site_fract_y
_atom_site_fract_z
_atom_site_occupancy
Tb1 Tb 0.029 0.971 0.750 1
Tb2 Tb 0.971 0.029 0.250 1
Pm1 Pm 0.011 0.559 0.683 1
Pm2 Pm 0.111 0.762 0.053 1
Pm3 Pm 0.238 0.889 0.447 1
Pm4 Pm 0.298 0.507 0.882 1
Pm5 Pm 0.441 0.989 0.817 1
Pm6 Pm 0.493 0.702 0.618 1
Pm7 Pm 0.507 0.298 0.382 1
Pm8 Pm 0.559 0.011 0.183 1
Pm9 Pm 0.702 0.493 0.118 1
Pm10 Pm 0.762 0.111 0.553 1
Pm11 Pm 0.889 0.238 0.947 1
Pm12 Pm 0.989 0.441 0.317 1
Er1 Er 0.409 0.591 0.250 1
Er2 Er 0.591 0.409 0.750 1
Sc1 Sc 0.199 0.298 0.549 1
Sc2 Sc 0.298 0.199 0.049 1
Sc3 Sc 0.702 0.801 0.951 1
Sc4 Sc 0.801 0.702 0.451 1
```

=====

Tb2PmEr4Sc: relaxed, PBE.

Properties
size of the total moment = 5.62 μB per cell
formation energy from the elements = 0.442 eV/atom
volume = 31.8 Å³ per atom
VASP energy = -4.382 eV per atom

Geometry as CIF:
```
data_Tb2PmEr4Sc
_space_group_name_H-M_alt 'P 1'
_space_group_IT_number 1
_space_group_name_Hall 'P 1'
_cell_length_a 9.360
_cell_length_b 9.360
_cell_length_c 6.708
_cell_angle_alpha 110.98
_cell_angle_beta 110.98
_cell_angle_gamma 88.63
loop_
_atom_site_label
_atom_site_type_symbol
_atom_site_fract_x
_atom_site_fract_y
_atom_site_fract_z
_atom_site_occupancy
Tb1 Tb 0.000 0.000 0.000 1
Tb2 Tb 0.000 0.000 0.500 1
Tb3 Tb 0.000 0.500 0.000 1
Tb4 Tb 0.500 0.000 0.500 1
Pm1 Pm 0.000 0.500 0.500 1
Pm2 Pm 0.500 0.000 0.000 1
Er1 Er 0.261 0.739 0.001 1
Er2 Er 0.261 0.739 0.499 1
Er3 Er 0.262 0.263 0.014 1
Er4 Er 0.263 0.262 0.514 1
Er5 Er 0.737 0.738 0.486 1
Er6 Er 0.738 0.737 0.986 1
Er7 Er 0.739 0.261 0.501 1
Er8 Er 0.739 0.261 0.999 1
Sc1 Sc 0.500 0.500 0.000 1
Sc2 Sc 0.500 0.500 0.500 1
```

=====

TbPm4Er2Sc: relaxed, PBE.

Properties
size of the total moment = 0.02 μB per cell
formation energy from the elements = 0.028 eV/atom
volume = 31.7 Å³ per atom
VASP energy = -4.858 eV per atom

Geometry as CIF:
```
data_TbPm4Er2Sc
_space_group_name_H-M_alt 'P 1'
_space_group_IT_number 1
_space_group_name_Hall 'P 1'
_cell_length_a 5.059
_cell_length_b 5.073
_cell_length_c 9.887
_cell_angle_alpha 90.00
_cell_angle_beta 90.00
_cell_angle_gamma 90.00
loop_
_atom_site_label
_atom_site_type_symbol
_atom_site_fract_x
_atom_site_fract_y
_atom_site_fract_z
_atom_site_occupancy
Tb1 Tb 0.000 0.000 0.000 1
Pm1 Pm 0.000 0.500 0.255 1
Pm2 Pm 0.000 0.500 0.745 1
Pm3 Pm 0.500 0.000 0.256 1
Pm4 Pm 0.500 0.000 0.744 1
Er1 Er 0.000 0.000 0.500 1
Er2 Er 0.500 0.500 0.000 1
Sc1 Sc 0.500 0.500 0.500 1
```

=====

Tb2PmEr6Sc: relaxed, PBE.

Properties
size of the total moment = 0.00 μB per cell
formation energy from the elements = 0.127 eV/atom
volume = 30.9 Å³ per atom
VASP energy = -4.645 eV per atom

Geometry as CIF:
```
data_Tb2PmEr6Sc
_space_group_name_H-M_alt 'P 1'
_space_group_IT_number 1
_space_group_name_Hall 'P 1'
_cell_length_a 8.646
_cell_length_b 8.646
_cell_length_c 9.382
_cell_angle_alpha 93.76
_cell_angle_beta 93.76
_cell_angle_gamma 117.28
loop_
_atom_site_label
_atom_site_type_symbol
_atom_site_fract_x
_atom_site_fract_y
_atom_site_fract_z
_atom_site_occupancy
Tb1 Tb 0.195 0.299 0.452 1
Tb2 Tb 0.299 0.195 0.952 1
Tb3 Tb 0.701 0.805 0.048 1
Tb4 Tb 0.805 0.701 0.548 1
Pm1 Pm 0.477 0.523 0.750 1
Pm2 Pm 0.523 0.477 0.250 1
Er1 Er 0.009 0.793 0.885 1
Er2 Er 0.064 0.508 0.689 1
Er3 Er 0.207 0.991 0.615 1
Er4 Er 0.250 0.627 0.057 1
Er5 Er 0.373 0.750 0.443 1
Er6 Er 0.492 0.936 0.811 1
Er7 Er 0.508 0.064 0.189 1
Er8 Er 0.627 0.250 0.557 1
Er9 Er 0.750 0.373 0.943 1
Er10 Er 0.793 0.009 0.385 1
Er11 Er 0.936 0.492 0.311 1
Er12 Er 0.991 0.207 0.115 1
Sc1 Sc 0.087 0.913 0.250 1
Sc2 Sc 0.913 0.087 0.750 1
```

=====

Tb2PmErSc4: relaxed, PBE.

Properties
size of the total moment = 7.59 μB per cell
formation energy from the elements = 0.436 eV/atom
volume = 29.2 Å³ per atom
VASP energy = -5.052 eV per atom

Geometry as CIF:
```
data_Tb2PmErSc4
_space_group_name_H-M_alt 'P 1'
_space_group_IT_number 1
_space_group_name_Hall 'P 1'
_cell_length_a 9.096
_cell_length_b 9.096
_cell_length_c 6.525
_cell_angle_alpha 111.02
_cell_angle_beta 111.02
_cell_angle_gamma 88.36
loop_
_atom_site_label
_atom_site_type_symbol
_atom_site_fract_x
_atom_site_fract_y
_atom_site_fract_z
_atom_site_occupancy
Tb1 Tb 0.000 0.000 0.000 1
Tb2 Tb 0.000 0.000 0.500 1
Tb3 Tb 0.000 0.500 0.000 1
Tb4 Tb 0.500 0.000 0.500 1
Pm1 Pm 0.000 0.500 0.500 1
Pm2 Pm 0.500 0.000 0.000 1
Er1 Er 0.500 0.500 0.000 1
Er2 Er 0.500 0.500 0.500 1
Sc1 Sc 0.251 0.251 0.002 1
Sc2 Sc 0.251 0.251 0.502 1
Sc3 Sc 0.251 0.749 0.000 1
Sc4 Sc 0.251 0.749 0.500 1
Sc5 Sc 0.749 0.251 0.000 1
Sc6 Sc 0.749 0.251 0.500 1
Sc7 Sc 0.749 0.749 0.498 1
Sc8 Sc 0.749 0.749 0.998 1
```

=====

Tb2Pm6ErSc: relaxed, PBE.

Properties
size of the total moment = 0.00 μB per cell
formation energy from the elements = 0.127 eV/atom
volume = 32.8 Å³ per atom
VASP energy = -4.739 eV per atom

Geometry as CIF:
```
data_Tb2Pm6ErSc
_space_group_name_H-M_alt 'P 1'
_space_group_IT_number 1
_space_group_name_Hall 'P 1'
_cell_length_a 8.882
_cell_length_b 8.882
_cell_length_c 9.466
_cell_angle_alpha 93.67
_cell_angle_beta 93.67
_cell_angle_gamma 117.70
loop_
_atom_site_label
_atom_site_type_symbol
_atom_site_fract_x
_atom_site_fract_y
_atom_site_fract_z
_atom_site_occupancy
Tb1 Tb 0.198 0.297 0.454 1
Tb2 Tb 0.297 0.198 0.954 1
Tb3 Tb 0.703 0.802 0.046 1
Tb4 Tb 0.802 0.703 0.546 1
Pm1 Pm 0.008 0.790 0.886 1
Pm2 Pm 0.063 0.497 0.695 1
Pm3 Pm 0.210 0.992 0.614 1
Pm4 Pm 0.264 0.623 0.052 1
Pm5 Pm 0.377 0.736 0.448 1
Pm6 Pm 0.497 0.063 0.195 1
Pm7 Pm 0.503 0.937 0.805 1
Pm8 Pm 0.623 0.264 0.552 1
Pm9 Pm 0.736 0.377 0.948 1
Pm10 Pm 0.790 0.008 0.386 1
Pm11 Pm 0.937 0.503 0.305 1
Pm12 Pm 0.992 0.210 0.114 1
Er1 Er 0.476 0.524 0.750 1
Er2 Er 0.524 0.476 0.250 1
Sc1 Sc 0.082 0.918 0.250 1
Sc2 Sc 0.918 0.082 0.750 1
```

=====

> volume of number 8 (Tb2Pm6ErSc)?

32.8 Å³ per atom